CaMgRu SCAN single point on PBEsol structure; space group = P3m1; V = 19.325 Å³/atom; electronic total energy = -16.242 eV/atom; spin magnetization = 0.8 μB/cell; formation energy = 0.245 eV/atom
1.0
2.995 0.000 0.000
0.000 4.728 0.000
0.000 -2.364 4.095
Ca Mg Ru
1 1 1
direct
0.026 0.000 0.000
0.601 0.667 0.333
0.373 0.333 0.667